CoSiO3 (PBE+U, relaxed); energy = -7.032 eV/atom
1.0
4.8193 0.0000 0.0000
0.0000 7.5429 0.0000
-0.0099 0.0000 5.7978
Co Si O
4 4 12
Cartesian
4.8159 0.0012 1.4448
-0.0065 7.5416 4.3530
-0.0016 3.7727 1.4541
4.8110 3.7702 4.3437
2.1731 1.8597 2.9010
2.1780 1.9117 0.0021
2.6314 5.6311 5.7956
2.6363 5.6832 2.8967
1.1965 0.6244 0.0012
1.1915 3.1470 2.9001
1.2115 0.5568 2.8997
1.2164 3.2146 0.0008
1.7328 5.6572 1.4461
1.7279 5.6571 4.3450
3.0815 1.8858 1.4528
3.0766 1.8857 4.3517
3.5930 4.3282 5.7969
3.5979 6.9861 2.8981
3.6179 4.3959 2.8977
3.6129 6.9184 5.7965